# Ca5V3O12F

A relaxed structure of Ca5V3O12F (GGA+U, the Alexandria database).

E (eV/atom): -7.167
Size of the total moment (Bohr magnetons per cell): 0.0
Symmetry: P-1, No. 2

Cell lengths 6.903, 10.038, 10.038 Å; angles 60.00, 89.99, 89.98 degrees
Sites, in units of the cell vectors:
Ca 0.002 0.167 0.166
Ca 0.250 0.251 0.729
Ca 0.250 0.520 0.251
Ca 0.250 0.729 0.520
Ca 0.498 0.166 0.167
Ca 0.502 0.834 0.833
Ca 0.750 0.271 0.480
Ca 0.750 0.480 0.749
Ca 0.750 0.749 0.271
Ca 0.998 0.833 0.834
V 0.250 0.095 0.528
V 0.250 0.876 0.095
V 0.251 0.528 0.876
V 0.749 0.472 0.124
V 0.750 0.124 0.905
V 0.750 0.905 0.472
O 0.052 0.753 0.163
O 0.053 0.165 0.584
O 0.053 0.584 0.753
O 0.249 0.006 0.160
O 0.249 0.893 0.638
O 0.250 0.160 0.334
O 0.250 0.969 0.893
O 0.251 0.334 0.006
O 0.251 0.638 0.969
O 0.447 0.752 0.165
O 0.448 0.163 0.584
O 0.448 0.584 0.752
O 0.552 0.416 0.248
O 0.552 0.837 0.416
O 0.553 0.248 0.835
O 0.749 0.362 0.031
O 0.749 0.666 0.994
O 0.750 0.031 0.107
O 0.750 0.840 0.666
O 0.751 0.107 0.362
O 0.751 0.994 0.840
O 0.947 0.416 0.247
O 0.947 0.835 0.416
O 0.948 0.247 0.837
F 0.250 0.500 0.500
F 0.750 0.500 0.500